Computed, not measured: an optimized crystal structure of Ba2NbFeO6 at the PBE with a Hubbard U level of DFT.

As for the crystal system: cubic. The uncorrected energy is -7.46 eV per atom. The calculated volume is 138.7 Å³/f.u.

Lattice parameters (Å, degrees): 5.809 5.809 5.810 119.99 119.99 90.00
Each line ends with the local moment (μB).
Element x y z (fractional)
1 Ba 0.750 0.250 0.500  0.00
2 Ba 0.250 0.750 0.500  0.00
3 O 0.747 0.747 0.000  0.09
4 O 0.747 0.747 0.495  0.09
5 O 0.747 0.253 0.000  0.09
6 O 0.253 0.253 0.505  0.09
7 O 0.253 0.747 0.000  0.09
8 O 0.253 0.253 0.000  0.09
9 Fe 0.000 0.000 0.000  4.34
10 Nb 0.500 0.500 0.000  0.07